## MoIrN2F (PBE with a Hubbard U)

Data for an optimized crystal structure of MoIrN2F.

Lattice parameters (Å, degrees): 4.0034 4.0034 3.9276 90.00 90.00 90.00
Space group P4/mmm (No. 123)
Unique sites:
1 Mo 0.0000 0.0000 0.0000 (multiplicity 1)
2 Ir 0.5000 0.5000 0.5000 (multiplicity 1)
3 N 0.0000 0.5000 0.0000 (multiplicity 2)
4 F 0.0000 0.0000 0.5000 (multiplicity 1)

Calculated values
The value obtained for the total moment is 1.01 Bohr magnetons per cell. The distance to the lowest polymorph of the same formula comes out at 334 meV per atom. For the total energy, the calculation gives -0.4330 Ry/atom.